No. 1
VASP calculation (PBE) on BaU2As4Pd after structural relaxation.

Properties
* symmetry: Cmcm
* M_tot: 2.088 μB/f.u.
* E_form: -0.767 eV per atom

Unit cell a=4.236 b=7.240 c=13.999 alpha=90.00 beta=90.00 gamma=107.01
Fractional positions:
U (0.371, 0.743, 0.561)
U (0.629, 0.257, 0.439)
U (0.629, 0.257, 0.061)
U (0.371, 0.743, 0.939)
Ba (0.115, 0.230, 0.750)
Ba (0.885, 0.770, 0.250)
As (0.741, 0.481, 0.898)
As (0.000, 0.000, 0.000)
As (0.741, 0.481, 0.602)
As (0.259, 0.519, 0.398)
As (0.259, 0.519, 0.102)
As (0.562, 0.125, 0.250)
As (0.000, 0.000, 0.500)
As (0.438, 0.875, 0.750)
Pd (0.159, 0.318, 0.250)
Pd (0.841, 0.682, 0.750)

No. 2
VASP calculation (PBE) on Pa6NiSe5 after structural relaxation.

Properties
* symmetry: C2/m
* M_tot: 0.000 μB/f.u.
* VASP energy: -7.717 eV/atom

Unit cell a=7.016 b=7.060 c=7.032 alpha=59.87 beta=80.36 gamma=70.51
Fractional positions:
Pa (0.244, 0.232, 0.000)
Pa (0.765, 0.393, 0.684)
Pa (0.235, 0.607, 0.316)
Pa (0.235, 0.923, 0.684)
Pa (0.765, 0.077, 0.316)
Pa (0.756, 0.768, 0.000)
Ni (0.000, 0.000, 0.000)
Se (0.500, 0.824, 0.351)
Se (0.000, 0.664, 0.672)
Se (0.500, 0.500, 0.000)
Se (0.000, 0.336, 0.328)
Se (0.500, 0.176, 0.649)

No. 3
VASP calculation (PBE) on PuTlSb2 after structural relaxation.

Properties
* symmetry: R3m
* M_tot: 5.172 μB/f.u.
* VASP energy: -6.366 eV/atom

Unit cell a=4.783 b=4.783 c=7.054 alpha=70.18 beta=70.18 gamma=60.00
Fractional positions:
Tl (0.495, 0.495, 0.515)
Sb (0.077, 0.077, 0.770)
Sb (0.261, 0.261, 0.217)
Pu (0.668, 0.668, 0.997)